KBe2HgBr8 | PBE-GGA | optimized geometry

Calculated values
**Formation energy (no corrections)**: -9.7 eV per formula unit
**Volume**: 363 Å³/cell
**VASP energy**: -31.9 eV/f.u.
**DOS(E_F)**: 20.40 states/eV/f.u.
**Magnetic moment**: 0.64 μB/f.u.

Structure (extended XYZ):
```
12
Lattice="6.5505 0.0000 0.0000 3.2752 5.6729 0.0000 3.2752 1.8910 9.7587" Properties=species:S:1:pos:R:3 pbc="T T T"
Br 5.3697 1.9682 1.7085
Br 9.8257 5.6729 5.2161
Br 8.7116 3.6662 1.7085
Hg 0.0000 0.0000 0.0000
Be 9.8257 5.6729 7.3885
K 6.5505 3.7819 4.8794
Br 7.5309 1.8525 8.0502
Br 5.5701 5.7114 1.7085
Br 3.2752 1.8910 4.5426
Br 4.3893 3.8976 8.0502
Br 7.7312 5.5957 8.0502
Be 3.2752 1.8910 2.3702
```

MgTaSi2 | PBE-GGA | optimized geometry

Calculated values
**Formation energy (no corrections)**: 0.0 eV per formula unit
**Volume**: 68 Å³/cell
**VASP energy**: -24.3 eV/f.u.
**DOS(E_F)**: 2.81 states/eV/f.u.
**Magnetic moment**: 0.00 μB/f.u.

Structure (extended XYZ):
```
4
Lattice="8.5504 -0.0005 -0.0003 8.0027 3.0110 -0.0003 8.0027 1.4555 2.6359" Properties=species:S:1:pos:R:3 pbc="T T T"
Mg 18.4168 3.3495 1.9765
Si 24.4656 4.4496 2.6257
Ta 6.1389 1.1165 0.6588
Si 12.3680 2.2494 1.3273
```